1.
# Zr2SnN, relaxed, DFT PBE
# Formation energy without anion corrections, eV per atom: -1.057
data_Zr2SnN
_cell_length_a 3.3259
_cell_length_b 3.3259
_cell_length_c 22.2150
_cell_angle_alpha 90.00
_cell_angle_beta 90.00
_cell_angle_gamma 120.00
_space_group_name_H-M_alt 'R -3 m'
_space_group_IT_number 166
_space_group_name_Hall '-R 3 2"'
loop_
_atom_site_label
_atom_site_type_symbol
_atom_site_fract_x
_atom_site_fract_y
_atom_site_fract_z
Zr1 Zr 0.0000 0.0000 0.2227
Sn1 Sn 0.0000 0.0000 0.0000
N1 N 0.0000 0.0000 0.5000



2.
# Zr4SnN2, relaxed, DFT PBE
# Formation energy without anion corrections, eV per atom: -1.118
data_Zr4SnN2
_cell_length_a 3.5189
_cell_length_b 11.3433
_cell_length_c 11.7971
_cell_angle_alpha 90.00
_cell_angle_beta 90.00
_cell_angle_gamma 90.00
_space_group_name_H-M_alt 'C m c m'
_space_group_IT_number 63
_space_group_name_Hall '-C 2c 2'
loop_
_atom_site_label
_atom_site_type_symbol
_atom_site_fract_x
_atom_site_fract_y
_atom_site_fract_z
Zr1 Zr 0.0000 0.0000 0.0000
Zr2 Zr 0.0000 0.2559 0.1003
Zr3 Zr 0.0000 0.4122 0.7500
Sn1 Sn 0.0000 0.1106 0.7500
N1 N 0.0000 0.3676 0.5613



3.
# Zr2SnN, relaxed, DFT PBE
# Formation energy without anion corrections, eV per atom: 0.343
data_Zr2SnN
_cell_length_a 6.6641
_cell_length_b 6.6641
_cell_length_c 6.6641
_cell_angle_alpha 90.00
_cell_angle_beta 90.00
_cell_angle_gamma 90.00
_space_group_name_H-M_alt 'F m -3 m'
_space_group_IT_number 225
_space_group_name_Hall '-F 4 2 3'
loop_
_atom_site_label
_atom_site_type_symbol
_atom_site_fract_x
_atom_site_fract_y
_atom_site_fract_z
Zr1 Zr 0.2500 0.2500 0.2500
Sn1 Sn 0.0000 0.0000 0.0000
N1 N 0.0000 0.0000 0.5000



4.
# Zr6SnN, relaxed, DFT PBE
# Formation energy without anion corrections, eV per atom: -0.596
data_Zr6SnN
_cell_length_a 8.6413
_cell_length_b 8.6413
_cell_length_c 7.6935
_cell_angle_alpha 90.00
_cell_angle_beta 90.00
_cell_angle_gamma 120.00
_space_group_name_H-M_alt 'R -3'
_space_group_IT_number 148
_space_group_name_Hall '-R 3'
loop_
_atom_site_label
_atom_site_type_symbol
_atom_site_fract_x
_atom_site_fract_y
_atom_site_fract_z
Zr1 Zr 0.0811 0.2511 0.1568
Sn1 Sn 0.0000 0.0000 0.5000
N1 N 0.0000 0.0000 0.0000



5.
# ZrSn3N, relaxed, DFT PBE
# Relative energy among the computed polymorphs, meV/atom: 0
# Formation energy without anion corrections, eV per atom: 0.353
data_ZrSn3N
_cell_length_a 4.6912
_cell_length_b 4.6912
_cell_length_c 4.6912
_cell_angle_alpha 90.00
_cell_angle_beta 90.00
_cell_angle_gamma 90.00
_space_group_name_H-M_alt 'P m -3 m'
_space_group_IT_number 221
_space_group_name_Hall '-P 4 2 3'
loop_
_atom_site_label
_atom_site_type_symbol
_atom_site_fract_x
_atom_site_fract_y
_atom_site_fract_z
Zr1 Zr 0.0000 0.0000 0.0000
Sn1 Sn 0.0000 0.5000 0.5000
N1 N 0.5000 0.5000 0.5000



6.
# ZrSn3N, relaxed, DFT PBE
# Relative energy among the computed polymorphs, meV/atom: 922
# Formation energy without anion corrections, eV per atom: 1.275
data_ZrSn3N
_cell_length_a 5.5965
_cell_length_b 5.5965
_cell_length_c 5.5965
_cell_angle_alpha 90.00
_cell_angle_beta 90.00
_cell_angle_gamma 90.00
_space_group_name_H-M_alt 'P m -3 m'
_space_group_IT_number 221
_space_group_name_Hall '-P 4 2 3'
loop_
_atom_site_label
_atom_site_type_symbol
_atom_site_fract_x
_atom_site_fract_y
_atom_site_fract_z
Zr1 Zr 0.0000 0.0000 0.0000
Sn1 Sn 0.0000 0.0000 0.5000
N1 N 0.5000 0.5000 0.5000



7.
# Zr4SnN, relaxed, DFT PBE
# Formation energy without anion corrections, eV per atom: -0.508
data_Zr4SnN
_cell_length_a 7.8698
_cell_length_b 5.2570
_cell_length_c 6.8915
_cell_angle_alpha 90.00
_cell_angle_beta 112.95
_cell_angle_gamma 90.00
_space_group_name_H-M_alt 'P 1 21/c 1'
_space_group_IT_number 14
_space_group_name_Hall '-P 2ybc'
loop_
_atom_site_label
_atom_site_type_symbol
_atom_site_fract_x
_atom_site_fract_y
_atom_site_fract_z
Zr1 Zr 0.1217 0.2476 0.3030
Zr2 Zr 0.2335 0.7286 0.1100
Sn1 Sn 0.5000 0.0000 0.0000
N1 N 0.0000 0.0000 0.0000



8.
# ZrSnN3, relaxed, DFT PBE
# Formation energy without anion corrections, eV per atom: 0.541
data_ZrSnN3
_cell_length_a 4.2728
_cell_length_b 4.2728
_cell_length_c 4.2728
_cell_angle_alpha 90.00
_cell_angle_beta 90.00
_cell_angle_gamma 90.00
_space_group_name_H-M_alt 'P m -3 m'
_space_group_IT_number 221
_space_group_name_Hall '-P 4 2 3'
loop_
_atom_site_label
_atom_site_type_symbol
_atom_site_fract_x
_atom_site_fract_y
_atom_site_fract_z
Zr1 Zr 0.0000 0.0000 0.0000
Sn1 Sn 0.5000 0.5000 0.5000
N1 N 0.0000 0.0000 0.5000